[1]
# Th5Te4As

A geometry-optimized Th5Te4As structure (GGA-PBE, Alexandria via LeMat-Bulk).

Calculated values
- density of states at the Fermi level (states/eV per cell) = 17.40
- ΔE_f (raw) (eV/atom) = -1.094

Structure (CIF):
```
data_Th5Te4As
_cell_length_a 4.381
_cell_length_b 4.438
_cell_length_c 31.565
_cell_angle_alpha 90.00
_cell_angle_beta 90.00
_cell_angle_gamma 90.00
_space_group_name_H-M_alt 'I m m m'
_space_group_IT_number 71
_space_group_name_Hall '-I 2 2'
loop_
_atom_site_label
_atom_site_type_symbol
_atom_site_fract_x
_atom_site_fract_y
_atom_site_fract_z
_atom_site_occupancy
Th1 Th 0.000 0.000 0.000 1
Th2 Th 0.000 0.000 0.207 1
Th3 Th 0.000 0.000 0.409 1
Te1 Te 0.000 0.000 0.103 1
Te2 Te 0.000 0.000 0.307 1
As1 As 0.000 0.000 0.500 1
```



[2]
# TaCdSe2

A geometry-optimized TaCdSe2 structure (GGA-PBE, Alexandria via LeMat-Bulk).

Calculated values
- density of states at the Fermi level (states/eV per cell) = 5.11
- ΔE_f (raw) (eV/atom) = 0.035

Structure (CIF):
```
data_TaCdSe2
_cell_length_a 3.668
_cell_length_b 4.865
_cell_length_c 10.101
_cell_angle_alpha 90.00
_cell_angle_beta 90.00
_cell_angle_gamma 90.00
_space_group_name_H-M_alt 'C m m 2'
_space_group_IT_number 35
loop_
_space_group_symop_operation_xyz
'x,y,z'
'-x,-y,z'
'-x,y,z'
'x,-y,z'
'x+1/2,y+1/2,z'
'-x+1/2,-y+1/2,z'
'-x+1/2,y+1/2,z'
'x+1/2,-y+1/2,z'
loop_
_atom_site_label
_atom_site_type_symbol
_atom_site_fract_x
_atom_site_fract_y
_atom_site_fract_z
_atom_site_occupancy
Ta1 Ta 0.000 0.000 0.000 1
Cd1 Cd 0.000 0.500 0.232 1
Se1 Se 0.000 0.000 0.455 1
Se2 Se 0.000 0.500 0.821 1
```



[3]
# SnWN2

A geometry-optimized SnWN2 structure (GGA-PBE, Alexandria via LeMat-Bulk).

Calculated values
- density of states at the Fermi level (states/eV per cell) = 4.33
- ΔE_f (raw) (eV/atom) = 0.494

Structure (CIF):
```
data_SnWN2
_cell_length_a 3.1856
_cell_length_b 3.1856
_cell_length_c 18.9905
_cell_angle_alpha 90.00
_cell_angle_beta 90.00
_cell_angle_gamma 120.00
_space_group_name_H-M_alt 'R -3 m'
_space_group_IT_number 166
_space_group_name_Hall '-R 3 2"'
loop_
_atom_site_label
_atom_site_type_symbol
_atom_site_fract_x
_atom_site_fract_y
_atom_site_fract_z
_atom_site_occupancy
Sn1 Sn 0.0000 0.0000 0.0000 1
W1 W 0.0000 0.0000 0.5000 1
N1 N 0.0000 0.0000 0.3965 1
```



[4]
# LiScCu2

A geometry-optimized LiScCu2 structure (GGA-PBE, Alexandria via LeMat-Bulk).

Calculated values
- density of states at the Fermi level (states/eV per cell) = 6.68
- DFT formation energy (meV per atom) = 160

Structure (CIF):
```
data_LiScCu2
_cell_length_a 2.8970
_cell_length_b 2.8970
_cell_length_c 26.6501
_cell_angle_alpha 90.00
_cell_angle_beta 90.00
_cell_angle_gamma 120.00
_space_group_name_H-M_alt 'R 3 m'
_space_group_IT_number 160
_space_group_name_Hall 'R 3 -2"'
loop_
_atom_site_label
_atom_site_type_symbol
_atom_site_fract_x
_atom_site_fract_y
_atom_site_fract_z
_atom_site_occupancy
Li1 Li 0.0000 0.0000 0.0000 1
Sc1 Sc 0.0000 0.0000 0.7692 1
Cu1 Cu 0.0000 0.0000 0.2574 1
Cu2 Cu 0.0000 0.0000 0.5198 1
```



[5]
# LiIr2Au

A geometry-optimized LiIr2Au structure (GGA-PBE, Alexandria via LeMat-Bulk).

Calculated values
- density of states at the Fermi level (states/eV per cell) = 9.95
- relative energy among the computed polymorphs (eV/atom) = 0.190
- DFT formation energy (meV per atom) = 140

Structure (CIF):
```
data_LiIr2Au
_cell_length_a 2.7222
_cell_length_b 2.7222
_cell_length_c 28.3108
_cell_angle_alpha 90.00
_cell_angle_beta 90.00
_cell_angle_gamma 120.00
_space_group_name_H-M_alt 'R -3 m'
_space_group_IT_number 166
_space_group_name_Hall '-R 3 2"'
loop_
_atom_site_label
_atom_site_type_symbol
_atom_site_fract_x
_atom_site_fract_y
_atom_site_fract_z
_atom_site_occupancy
Li1 Li 0.0000 0.0000 0.0000 1
Ir1 Ir 0.0000 0.0000 0.2553 1
Au1 Au 0.0000 0.0000 0.5000 1
```



[6]
# LiMnNi14

A geometry-optimized LiMnNi14 structure (GGA-PBE, Alexandria via LeMat-Bulk).

Calculated values
- density of states at the Fermi level (states/eV per cell) = 44.48
- DFT formation energy (meV per atom) = -4

Structure (CIF):
```
data_LiMnNi14
_cell_length_a 8.170
_cell_length_b 4.997
_cell_length_c 8.650
_cell_angle_alpha 90.00
_cell_angle_beta 90.00
_cell_angle_gamma 90.00
_space_group_name_H-M_alt 'A m m 2'
_space_group_IT_number 38
loop_
_space_group_symop_operation_xyz
'x,y,z'
'-x,-y,z'
'-x,y,z'
'x,-y,z'
'x,y+1/2,z+1/2'
'-x,-y+1/2,z+1/2'
'-x,y+1/2,z+1/2'
'x,-y+1/2,z+1/2'
loop_
_atom_site_label
_atom_site_type_symbol
_atom_site_fract_x
_atom_site_fract_y
_atom_site_fract_z
_atom_site_occupancy
Li1 Li 0.000 0.000 0.000 1
Mn1 Mn 0.000 0.000 0.500 1
Ni1 Ni 0.000 0.249 0.248 1
Ni2 Ni 0.249 0.000 0.332 1
Ni3 Ni 0.249 0.000 0.832 1
Ni4 Ni 0.252 0.250 0.084 1
Ni5 Ni 0.500 0.000 0.166 1
Ni6 Ni 0.500 0.000 0.667 1
Ni7 Ni 0.500 0.250 0.416 1
```



[7]
# ScPbI2O

A geometry-optimized ScPbI2O structure (GGA-PBE, Alexandria via LeMat-Bulk).

Calculated values
- density of states at the Fermi level (states/eV per cell) = 2.59
- relative energy among the computed polymorphs (eV/atom) = 0.000
- ΔE_f (raw) (eV/atom) = -1.237

Structure (CIF):
```
data_ScPbI2O
_cell_length_a 6.116
_cell_length_b 6.116
_cell_length_c 3.890
_cell_angle_alpha 90.00
_cell_angle_beta 90.00
_cell_angle_gamma 90.00
_space_group_name_H-M_alt 'P 4/m m m'
_space_group_IT_number 123
_space_group_name_Hall '-P 4 2'
loop_
_atom_site_label
_atom_site_type_symbol
_atom_site_fract_x
_atom_site_fract_y
_atom_site_fract_z
_atom_site_occupancy
Sc1 Sc 0.000 0.000 0.000 1
Pb1 Pb 0.500 0.500 0.500 1
I1 I 0.000 0.500 0.000 1
O1 O 0.000 0.000 0.500 1
```



[8]
# AlRhW3

A geometry-optimized AlRhW3 structure (GGA-PBE, Alexandria via LeMat-Bulk).

Calculated values
- density of states at the Fermi level (states/eV per cell) = 7.33
- relative energy among the computed polymorphs (eV/atom) = 0.075
- DFT formation energy (meV per atom) = 1897

Structure (CIF):
```
data_AlRhW3
_cell_length_a 4.695
_cell_length_b 4.695
_cell_length_c 4.695
_cell_angle_alpha 90.00
_cell_angle_beta 90.00
_cell_angle_gamma 90.00
_space_group_name_H-M_alt 'P m -3 m'
_space_group_IT_number 221
_space_group_name_Hall '-P 4 2 3'
loop_
_atom_site_label
_atom_site_type_symbol
_atom_site_fract_x
_atom_site_fract_y
_atom_site_fract_z
_atom_site_occupancy
Al1 Al 0.000 0.000 0.000 1
Rh1 Rh 0.500 0.500 0.500 1
W1 W 0.000 0.500 0.500 1
```